{"formula": "Pm2Sm4Th", "functional": "PBE-GGA", "state": "optimized geometry", "formation_enthalpy_0k_ev_per_atom": 0.035, "mass_density_g_cm3": 7.86, "magmom_total_mub_per_atom": 0.00, "sg": "Cm (8)", "total_energy_ry_per_atom": -0.37329, "de_polymorph_kcal_per_mol_atoms": 0.41, "cell": [[3.159, -1.821, 0.000], [3.159, 1.821, 0.000], [-2.169, 0.000, 20.631]], "species": ["Pm", "Pm", "Sm", "Sm", "Sm", "Sm", "Th"], "fractional_positions": [[0.000, 0.000, 0.000], [0.092, 0.092, 0.286], [0.289, 0.289, 0.856], [0.381, 0.381, 0.144], [0.812, 0.812, 0.430], [0.905, 0.905, 0.713], [0.191, 0.191, 0.571]]}